# PBE-GGA TlRhCl2, optimized geometry
data_TlRhCl2
_cell_length_a 3.442
_cell_length_b 6.447
_cell_length_c 8.864
_cell_angle_alpha 90.00
_cell_angle_beta 90.00
_cell_angle_gamma 90.00
_symmetry_space_group_name_H-M 'C m m m'
_symmetry_Int_Tables_number 65
_symmetry_space_group_name_Hall '-C 2 2'
loop_
_atom_site_label
_atom_site_type_symbol
_atom_site_fract_x
_atom_site_fract_y
_atom_site_fract_z
_atom_site_occupancy
Tl1 Tl 0.000 0.000 0.000 1
Rh1 Rh 0.000 0.000 0.500 1
Cl1 Cl 0.000 0.500 0.318 1
# Formation energy from raw total energies   -217.3 meV/atom
# Polymorph energy (0 for the lowest one)   224 meV/atom
# Fermi-level density of states   2.200 states/eV/f.u.
# Crystal system   orthorhombic


# PBE-GGA Ce8C3NO4, optimized geometry
data_Ce8C3NO4
_cell_length_a 7.2062
_cell_length_b 7.2062
_cell_length_c 17.4444
_cell_angle_alpha 90.00
_cell_angle_beta 90.00
_cell_angle_gamma 120.00
_symmetry_space_group_name_H-M 'R -3 m'
_symmetry_Int_Tables_number 166
_symmetry_space_group_name_Hall '-R 3 2"'
loop_
_atom_site_label
_atom_site_type_symbol
_atom_site_fract_x
_atom_site_fract_y
_atom_site_fract_z
_atom_site_occupancy
Ce1 Ce 0.0000 0.0000 0.2493 1
Ce2 Ce 0.0018 0.5009 0.7498 1
C1 C 0.0000 0.5000 0.0000 1
N1 N 0.0000 0.0000 0.0000 1
O1 O 0.0000 0.0000 0.5000 1
O2 O 0.0000 0.5000 0.5000 1
# Formation energy from raw total energies   -1741.5 meV/atom
# Fermi-level density of states   22.117 states/eV/f.u.
# Crystal system   trigonal


# PBE-GGA Ag2C, optimized geometry
data_Ag2C
_cell_length_a 2.877
_cell_length_b 11.047
_cell_length_c 5.588
_cell_angle_alpha 90.00
_cell_angle_beta 90.00
_cell_angle_gamma 90.00
_symmetry_space_group_name_H-M 'C m c 21'
_symmetry_Int_Tables_number 36
loop_
_symmetry_equiv_pos_as_xyz
'x,y,z'
'-x,-y,z+1/2'
'-x,y,z'
'x,-y,z+1/2'
'x+1/2,y+1/2,z'
'-x+1/2,-y+1/2,z+1/2'
'-x+1/2,y+1/2,z'
'x+1/2,-y+1/2,z+1/2'
loop_
_atom_site_label
_atom_site_type_symbol
_atom_site_fract_x
_atom_site_fract_y
_atom_site_fract_z
_atom_site_occupancy
Ag1 Ag 0.000 0.016 0.000 1
Ag2 Ag 0.000 0.245 0.481 1
C1 C 0.000 0.395 0.206 1
# Polymorph energy (0 for the lowest one)   744 meV/atom
# Fermi-level density of states   0.807 states/eV/f.u.
# Energy relative to the elements   31.6 kcal/mol of atoms
# Crystal system   orthorhombic


# PBE-GGA Na5Cd3Sn, optimized geometry
data_Na5Cd3Sn
_cell_length_a 13.822
_cell_length_b 8.865
_cell_length_c 11.967
_cell_angle_alpha 90.00
_cell_angle_beta 124.41
_cell_angle_gamma 90.00
_symmetry_space_group_name_H-M 'C 1 2/m 1'
_symmetry_Int_Tables_number 12
loop_
_symmetry_equiv_pos_as_xyz
'x,y,z'
'-x,-y,-z'
'-x,y,-z'
'x,-y,z'
'x+1/2,y+1/2,z'
'-x+1/2,-y+1/2,-z'
'-x+1/2,y+1/2,-z'
'x+1/2,-y+1/2,z'
loop_
_atom_site_label
_atom_site_type_symbol
_atom_site_fract_x
_atom_site_fract_y
_atom_site_fract_z
_atom_site_occupancy
Na1 Na 0.000 0.170 0.000 1
Na2 Na 0.079 0.309 0.316 1
Na3 Na 0.160 0.500 0.641 1
Na4 Na 0.202 0.500 0.946 1
Cd1 Cd 0.000 0.000 0.500 1
Cd2 Cd 0.000 0.500 0.000 1
Cd3 Cd 0.052 0.000 0.786 1
Cd4 Cd 0.196 0.000 0.479 1
Sn1 Sn 0.243 0.500 0.236 1
# Fermi-level density of states   3.864 states/eV/f.u.
# Energy relative to the elements   1.0 kcal/mol of atoms
# Crystal system   monoclinic


# PBE-GGA CsRe3Rh, optimized geometry
data_CsRe3Rh
_cell_length_a 4.804
_cell_length_b 4.804
_cell_length_c 4.804
_cell_angle_alpha 90.00
_cell_angle_beta 90.00
_cell_angle_gamma 90.00
_symmetry_space_group_name_H-M 'P m -3 m'
_symmetry_Int_Tables_number 221
_symmetry_space_group_name_Hall '-P 4 2 3'
loop_
_atom_site_label
_atom_site_type_symbol
_atom_site_fract_x
_atom_site_fract_y
_atom_site_fract_z
_atom_site_occupancy
Cs1 Cs 0.000 0.000 0.000 1
Re1 Re 0.000 0.000 0.500 1
Rh1 Rh 0.500 0.500 0.500 1
# Polymorph energy (0 for the lowest one)   1681 meV/atom
# Fermi-level density of states   6.937 states/eV/f.u.
# Energy relative to the elements   96.5 kcal/mol of atoms
# Crystal system   cubic


# PBE-GGA HfAl2Mo2, optimized geometry
data_HfAl2Mo2
_cell_length_a 3.779
_cell_length_b 3.779
_cell_length_c 12.209
_cell_angle_alpha 90.00
_cell_angle_beta 90.00
_cell_angle_gamma 90.00
_symmetry_space_group_name_H-M 'I 4/m m m'
_symmetry_Int_Tables_number 139
_symmetry_space_group_name_Hall '-I 4 2'
loop_
_atom_site_label
_atom_site_type_symbol
_atom_site_fract_x
_atom_site_fract_y
_atom_site_fract_z
_atom_site_occupancy
Hf1 Hf 0.000 0.000 0.000 1
Al1 Al 0.000 0.000 0.401 1
Mo1 Mo 0.000 0.500 0.250 1
# Polymorph energy (0 for the lowest one)   198 meV/atom
# Fermi-level density of states   2.326 states/eV/f.u.
# Energy relative to the elements   -1.5 kcal/mol of atoms
# Crystal system   tetragonal


# PBE-GGA Li2ThTcN4, optimized geometry
data_Li2ThTcN4
_cell_length_a 3.356
_cell_length_b 12.328
_cell_length_c 9.587
_cell_angle_alpha 90.00
_cell_angle_beta 90.00
_cell_angle_gamma 90.00
_symmetry_space_group_name_H-M 'C m c m'
_symmetry_Int_Tables_number 63
_symmetry_space_group_name_Hall '-C 2c 2'
loop_
_atom_site_label
_atom_site_type_symbol
_atom_site_fract_x
_atom_site_fract_y
_atom_site_fract_z
_atom_site_occupancy
Li1 Li 0.000 0.093 0.037 1
Th1 Th 0.000 0.454 0.250 1
Tc1 Tc 0.000 0.287 0.750 1
N1 N 0.000 0.110 0.250 1
N2 N 0.000 0.196 0.611 1
N3 N 0.000 0.500 0.000 1
# Formation energy from raw total energies   -426.0 meV/atom
# Fermi-level density of states   3.044 states/eV/f.u.
# Crystal system   orthorhombic


# PBE-GGA TeSI2, optimized geometry
data_TeSI2
_cell_length_a 7.610
_cell_length_b 7.610
_cell_length_c 7.610
_cell_angle_alpha 90.00
_cell_angle_beta 90.00
_cell_angle_gamma 90.00
_symmetry_space_group_name_H-M 'F m -3 m'
_symmetry_Int_Tables_number 225
_symmetry_space_group_name_Hall '-F 4 2 3'
loop_
_atom_site_label
_atom_site_type_symbol
_atom_site_fract_x
_atom_site_fract_y
_atom_site_fract_z
_atom_site_occupancy
Te1 Te 0.000 0.000 0.000 1
S1 S 0.000 0.000 0.500 1
I1 I 0.250 0.250 0.250 1
# Formation energy from raw total energies   699.5 meV/atom
# Polymorph energy (0 for the lowest one)   663 meV/atom
# Fermi-level density of states   6.477 states/eV/f.u.
# Crystal system   cubic


Record-wise size of the total moment values, in Bohr magnetons per cell: 1.0, 0.0, 0.0, 0.0, 0.0, 0.0, 0.4, 0.0